This record from Alexandria via LeMat-Bulk describes a relaxed structure of Cs2SrMoAs. The functional is PBE.

Computed properties:
As for the formation enthalpy at 0 K: 368 kJ/mol of formula units. The calculation puts the total energy at -0.111 hartree per atom. As for the space group: P4/mmm. The calculation puts the density of states at the Fermi level at 0.3 states/eV per cell. As for the crystal system: tetragonal.

Geometry as POSCAR:
```
Cs2SrMoAs
1.0
7.121 0.000 0.000
0.000 5.945 0.000
0.000 0.000 7.121
Cs Sr As Mo
2 1 1 1
Cartesian
0.000 0.000 3.560 Cs
3.560 0.000 0.000 Cs
0.000 2.973 0.000 Sr
0.000 0.000 0.000 As
3.560 2.973 3.560 Mo
```